No. 1
# K2ScRu | the Alexandria database | PBE-GGA | relaxed
data_K2ScRu
_space_group_name_H-M_alt 'C 1 2/m 1'
_space_group_IT_number 12
_space_group_name_Hall '-C 2y'
_cell_length_a 5.651
_cell_length_b 12.588
_cell_length_c 3.563
_cell_angle_alpha 90.00
_cell_angle_beta 125.88
_cell_angle_gamma 90.00
loop_
_atom_site_label
_atom_site_fract_x
_atom_site_fract_y
_atom_site_fract_z
_atom_site_occupancy
K1 0.250 0.250 0.000 1
Sc1 0.000 0.000 0.500 1
Ru1 0.000 0.500 0.500 1
# Energy relative to the elements, kJ per mole of atoms: 84.7
# Excess energy over the best structure of this formula in the dataset, eV/f.u.: 2.385
# Crystal system: monoclinic

No. 2
# YHo4Er3Se8 | the Alexandria database | PBE-GGA | relaxed
data_YHo4Er3Se8
_space_group_name_H-M_alt 'R -3 m'
_space_group_IT_number 166
_space_group_name_Hall '-R 3 2"'
_cell_length_a 8.1019
_cell_length_b 8.1019
_cell_length_c 19.8731
_cell_angle_alpha 90.00
_cell_angle_beta 90.00
_cell_angle_gamma 120.00
loop_
_atom_site_label
_atom_site_fract_x
_atom_site_fract_y
_atom_site_fract_z
_atom_site_occupancy
Y1 0.0000 0.0000 0.0000 1
Ho1 0.0000 0.0000 0.5000 1
Ho2 0.0000 0.5000 0.5000 1
Er1 0.0000 0.5000 0.0000 1
Se1 0.0000 0.0000 0.2507 1
Se2 0.0021 0.5011 0.2501 1
# Crystal system: trigonal
# Raw formation energy, meV/atom: -1711

No. 3
# Sr5LiHg6 | the Alexandria database | PBE-GGA | relaxed
data_Sr5LiHg6
_space_group_name_H-M_alt 'C 1 2/m 1'
_space_group_IT_number 12
_space_group_name_Hall '-C 2y'
_cell_length_a 9.679
_cell_length_b 16.681
_cell_length_c 5.545
_cell_angle_alpha 90.00
_cell_angle_beta 124.72
_cell_angle_gamma 90.00
loop_
_atom_site_label
_atom_site_fract_x
_atom_site_fract_y
_atom_site_fract_z
_atom_site_occupancy
Sr1 0.000 0.000 0.000 1
Sr2 0.000 0.168 0.500 1
Sr3 0.000 0.336 0.000 1
Li1 0.000 0.500 0.500 1
Hg1 0.243 0.500 0.246 1
Hg2 0.244 0.338 0.743 1
# Energy relative to the elements, kJ per mole of atoms: -44.7
# Crystal system: monoclinic

No. 4
# SrAlSbI2 | the Alexandria database | PBE-GGA | relaxed
data_SrAlSbI2
_space_group_name_H-M_alt 'P 4/m m m'
_space_group_IT_number 123
_space_group_name_Hall '-P 4 2'
_cell_length_a 5.645
_cell_length_b 5.645
_cell_length_c 5.509
_cell_angle_alpha 90.00
_cell_angle_beta 90.00
_cell_angle_gamma 90.00
loop_
_atom_site_label
_atom_site_fract_x
_atom_site_fract_y
_atom_site_fract_z
_atom_site_occupancy
Sr1 0.000 0.000 0.000 1
Al1 0.500 0.500 0.500 1
Sb1 0.500 0.500 0.000 1
I1 0.000 0.500 0.500 1
# Excess energy over the best structure of this formula in the dataset, eV/f.u.: 0.000
# Crystal system: tetragonal
# Raw formation energy, meV/atom: -445

No. 5
# La5PrEr4 | the Alexandria database | PBE-GGA | relaxed
data_La5PrEr4
_space_group_name_H-M_alt 'P 4/m m m'
_space_group_IT_number 123
_space_group_name_Hall '-P 4 2'
_cell_length_a 3.703
_cell_length_b 3.703
_cell_length_c 25.079
_cell_angle_alpha 90.00
_cell_angle_beta 90.00
_cell_angle_gamma 90.00
loop_
_atom_site_label
_atom_site_fract_x
_atom_site_fract_y
_atom_site_fract_z
_atom_site_occupancy
La1 0.000 0.000 0.000 1
La2 0.000 0.000 0.197 1
La3 0.000 0.000 0.395 1
Pr1 0.500 0.500 0.500 1
Er1 0.500 0.500 0.098 1
Er2 0.500 0.500 0.295 1
# Energy relative to the elements, kJ per mole of atoms: 2.4
# Crystal system: tetragonal

No. 6
# ZnP | the Alexandria database | PBE-GGA | relaxed
data_ZnP
_space_group_name_H-M_alt 'I m m a'
_space_group_IT_number 74
_space_group_name_Hall '-I 2b 2'
_cell_length_a 3.239
_cell_length_b 3.995
_cell_length_c 10.039
_cell_angle_alpha 90.00
_cell_angle_beta 90.00
_cell_angle_gamma 90.00
loop_
_atom_site_label
_atom_site_fract_x
_atom_site_fract_y
_atom_site_fract_z
_atom_site_occupancy
Zn1 0.000 0.250 0.090 1
P1 0.000 0.250 0.666 1
# Energy relative to the elements, kJ per mole of atoms: 20.2
# Crystal system: orthorhombic

No. 7
# Er2SnRh3 | the Alexandria database | PBE-GGA | relaxed
data_Er2SnRh3
_space_group_name_H-M_alt 'C 1 2/c 1'
_space_group_IT_number 15
_space_group_name_Hall '-C 2yc'
_cell_length_a 13.317
_cell_length_b 5.522
_cell_length_c 6.596
_cell_angle_alpha 90.00
_cell_angle_beta 104.57
_cell_angle_gamma 90.00
loop_
_atom_site_label
_atom_site_fract_x
_atom_site_fract_y
_atom_site_fract_z
_atom_site_occupancy
Er1 0.174 0.007 0.085 1
Sn1 0.000 0.305 0.250 1
Rh1 0.000 0.179 0.750 1
Rh2 0.143 0.494 0.574 1
# Energy relative to the elements, kJ per mole of atoms: -63.0
# Crystal system: monoclinic

No. 8
# ScTiH | the Alexandria database | PBE-GGA | relaxed
data_ScTiH
_space_group_name_H-M_alt 'P 3 m 1'
_space_group_IT_number 156
_space_group_name_Hall 'P 3 -2"'
_cell_length_a 3.1291
_cell_length_b 3.1291
_cell_length_c 4.8825
_cell_angle_alpha 90.00
_cell_angle_beta 90.00
_cell_angle_gamma 120.00
loop_
_atom_site_label
_atom_site_fract_x
_atom_site_fract_y
_atom_site_fract_z
_atom_site_occupancy
Sc1 0.0000 0.0000 0.0000 1
Ti1 0.3333 0.6667 0.5018 1
H1 0.6667 0.3333 0.2839 1
# Excess energy over the best structure of this formula in the dataset, eV/f.u.: 0.000
# Crystal system: trigonal

No. 9
# PrNd3ErTh | the Alexandria database | PBE-GGA | relaxed
data_PrNd3ErTh
_space_group_name_H-M_alt 'P 1 21/m 1'
_space_group_IT_number 11
_space_group_name_Hall '-P 2yb'
_cell_length_a 8.158
_cell_length_b 5.151
_cell_length_c 10.292
_cell_angle_alpha 90.00
_cell_angle_beta 108.46
_cell_angle_gamma 90.00
loop_
_atom_site_label
_atom_site_fract_x
_atom_site_fract_y
_atom_site_fract_z
_atom_site_occupancy
Pr1 0.172 0.250 0.293 1
Nd1 0.174 0.750 0.544 1
Nd2 0.181 0.250 0.795 1
Nd3 0.181 0.750 0.045 1
Er1 0.500 0.250 0.628 1
Th1 0.499 0.750 0.878 1
# Energy relative to the elements, kJ per mole of atoms: 3.2
# Crystal system: monoclinic

No. 10
# CsCuH3 | the Alexandria database | PBE-GGA | relaxed
data_CsCuH3
_space_group_name_H-M_alt 'P 1 21/c 1'
_space_group_IT_number 14
_space_group_name_Hall '-P 2ybc'
_cell_length_a 7.223
_cell_length_b 5.092
_cell_length_c 12.284
_cell_angle_alpha 90.00
_cell_angle_beta 115.22
_cell_angle_gamma 90.00
loop_
_atom_site_label
_atom_site_fract_x
_atom_site_fract_y
_atom_site_fract_z
_atom_site_occupancy
Cs1 0.211 0.235 0.177 1
Cu1 0.351 0.661 0.963 1
H1 0.229 0.745 0.536 1
H2 0.240 0.718 0.333 1
H3 0.495 0.010 0.581 1
# Excess energy over the best structure of this formula in the dataset, eV/f.u.: 0.000
# Crystal system: monoclinic

No. 11
# Sr6Au5 | the Alexandria database | PBE-GGA | relaxed
data_Sr6Au5
_space_group_name_H-M_alt 'I m m m'
_space_group_IT_number 71
_space_group_name_Hall '-I 2 2'
_cell_length_a 5.429
_cell_length_b 7.698
_cell_length_c 16.350
_cell_angle_alpha 90.00
_cell_angle_beta 90.00
_cell_angle_gamma 90.00
loop_
_atom_site_label
_atom_site_fract_x
_atom_site_fract_y
_atom_site_fract_z
_atom_site_occupancy
Sr1 0.000 0.244 0.000 1
Sr2 0.000 0.253 0.332 1
Au1 0.000 0.000 0.168 1
Au2 0.000 0.500 0.161 1
Au3 0.000 0.500 0.500 1
# Energy relative to the elements, kJ per mole of atoms: -65.2
# Crystal system: orthorhombic

No. 12
# Na4AgTe3Se8 | the Alexandria database | PBE-GGA | relaxed
data_Na4AgTe3Se8
_space_group_name_H-M_alt 'R -3 m'
_space_group_IT_number 166
_space_group_name_Hall '-R 3 2"'
_cell_length_a 8.3728
_cell_length_b 8.3728
_cell_length_c 20.7901
_cell_angle_alpha 90.00
_cell_angle_beta 90.00
_cell_angle_gamma 120.00
loop_
_atom_site_label
_atom_site_fract_x
_atom_site_fract_y
_atom_site_fract_z
_atom_site_occupancy
Na1 0.0000 0.0000 0.0000 1
Na2 0.0000 0.5000 0.0000 1
Ag1 0.0000 0.0000 0.5000 1
Te1 0.0000 0.5000 0.5000 1
Se1 0.0000 0.0000 0.2425 1
Se2 0.0076 0.5038 0.7591 1
# Crystal system: trigonal
# Raw formation energy, meV/atom: -410

no.,V (Å³ per cell),magnetic moment (μB/f.u.)
1,205.36,0.1
2,1129.76,0.0
3,735.89,0.0
4,175.56,0.0
5,343.92,0.0
6,129.91,0.0
7,469.38,0.0
8,41.40,0.0
9,410.26,0.0
10,408.72,0.0
11,683.35,0.0
12,1262.45,0.0